K2ScV3F12: optimized geometry, GGA+U.

```
K2ScV3F12
1.0
3.7400 2.1593 6.3146
-3.7400 2.1593 6.3146
0.0000 -4.3185 6.3146
K Sc V F
2 1 3 12
Direct
0.1063 0.1063 0.1063
0.8937 0.8937 0.8937
0.5000 0.5000 0.5000
0.0000 0.5000 0.5000
0.5000 0.0000 0.5000
0.5000 0.5000 0.0000
0.1734 0.1734 0.5754
0.1734 0.5754 0.1734
0.1814 0.5694 0.5694
0.4246 0.8266 0.8266
0.4306 0.4306 0.8186
0.4306 0.8186 0.4306
0.5694 0.1814 0.5694
0.5694 0.5694 0.1814
0.5754 0.1734 0.1734
0.8186 0.4306 0.4306
0.8266 0.4246 0.8266
0.8266 0.8266 0.4246
```

Mass density (g cm⁻³): 2.74
Final energy (eV per atom): -6.016
Spin magnetization (μB/cell): 8.000
SG: R-3m (166)

***

K2ScVF6: optimized geometry, GGA+U.

```
K2ScVF6
1.0
-2.9630 3.0697 4.3199
2.9630 -3.0697 4.3199
2.9630 3.0697 -4.3199
K Sc V F
2 1 1 6
Direct
0.2491 0.2491 0.0000
0.7509 0.7509 0.0000
0.5000 0.0000 0.5000
0.0000 0.5000 0.5000
0.2444 0.2441 0.4886
0.2444 0.7559 0.0003
0.2469 0.7469 0.5000
0.7531 0.2531 0.5000
0.7556 0.2441 0.9997
0.7556 0.7559 0.5114
```

Mass density (g cm⁻³): 3.04
Final energy (eV per atom): -5.637
Spin magnetization (μB/cell): 3.833
SG: Immm (71)

***

KScVF6: optimized geometry, GGA+U.

```
KScVF6
1.0
-3.7477 3.8915 5.4330
3.7477 -3.8915 5.4330
3.7477 3.8915 -5.4330
K Sc V F
2 2 2 12
Direct
0.3276 0.0776 0.2500
0.6724 0.9224 0.7500
0.0000 0.5000 0.5000
0.5000 0.5000 0.0000
0.0000 0.0000 0.5000
0.0000 0.5000 0.0000
0.0718 0.4259 0.2537
0.0718 0.8180 0.6459
0.0845 0.8345 0.2500
0.3100 0.5600 0.7500
0.3279 0.1820 0.7537
0.3279 0.5741 0.1459
0.6721 0.4259 0.8541
0.6721 0.8180 0.2463
0.6900 0.4400 0.2500
0.9155 0.1655 0.7500
0.9282 0.1820 0.3541
0.9282 0.5741 0.7463
```

Mass density (g cm⁻³): 2.61
Final energy (eV per atom): -6.179
Spin magnetization (μB/cell): 6.000
SG: Imma (74)